Entry 1:
The following is a GGA-PBE calculation of Zr2PPt after structural relaxation, from Alexandria.

Lattice parameters (Å, degrees): 4.853 4.853 4.853 125.73 125.73 80.33
Positions (direct):
Zr1 0.250 0.750 0.500
Zr2 0.750 0.250 0.500
P1 0.000 0.000 0.000
Pt1 0.500 0.500 0.000

## Properties
The value obtained for the formation energy is -0.7979 eV/atom. For the density of states at the Fermi level, the calculation gives 1.07 states/eV per atom. The calculation puts the raw total energy at -7.9346 eV per atom.



Entry 2:
The following is a GGA-PBE calculation of ZrPPt2 after structural relaxation, from Alexandria.

Lattice parameters (Å, degrees): 3.421 3.421 5.959 90.00 90.00 90.00
Positions (direct):
Zr1 0.000 0.000 0.000
P1 0.500 0.500 0.362
Pt1 0.000 0.000 0.485
Pt2 0.500 0.500 0.773

## Properties
The value obtained for the formation energy is -0.5839 eV/atom. For the density of states at the Fermi level, the calculation gives 0.69 states/eV per atom. The calculation puts the raw total energy at -7.0938 eV per atom.



Entry 3:
The following is a GGA-PBE calculation of ZrPPt2 after structural relaxation, from Alexandria.

Lattice parameters (Å, degrees): 3.571 3.571 5.368 90.00 90.00 90.00
Positions (direct):
Zr1 0.000 0.000 0.000
P1 0.000 0.000 0.500
Pt1 0.500 0.500 0.252
Pt2 0.500 0.500 0.748

## Properties
The value obtained for the formation energy is -0.7199 eV/atom. For the density of states at the Fermi level, the calculation gives 0.42 states/eV per atom. The calculation puts the raw total energy at -7.2298 eV per atom.



What did the second record say?
The following is a GGA-PBE calculation of ZrPPt2 after structural relaxation, from Alexandria.

Lattice parameters (Å, degrees): 3.421 3.421 5.959 90.00 90.00 90.00
Positions (direct):
Zr1 0.000 0.000 0.000
P1 0.500 0.500 0.362
Pt1 0.000 0.000 0.485
Pt2 0.500 0.500 0.773

## Properties
The value obtained for the formation energy is -0.5839 eV/atom. For the density of states at the Fermi level, the calculation gives 0.69 states/eV per atom. The calculation puts the raw total energy at -7.0938 eV per atom.



- density of states at the Fermi level of number 1 (Zr2PPt)?
  1.07 states/eV per atom